[1]
First-principles (GGA-PBE) data for an optimized crystal structure of NaPm2PaS6, as listed in the Alexandria database.

Cell and atoms, written as extended XYZ:
```
10
Lattice="-4.486 -4.258 3.434 2.485 -5.386 3.856 -0.367 0.520 7.454" Properties=species:S:1:pos:R:3 pbc="T T T"
S -0.305 -5.112 9.738
S -3.112 -3.360 8.603
S -2.192 -3.560 4.710
S 0.094 -2.334 7.649
S 1.275 -5.890 6.236
S -2.864 -7.069 7.360
Pm -1.206 -4.829 7.012
Pm -0.379 0.377 7.262
Na -1.827 -7.473 10.209
Pa -0.658 -3.100 2.585
```

Output
**Energy relative to the elements, uncorrected**: -17.594 eV/f.u.
**DFT total energy**: -6.27 eV per atom

=====

[2]
First-principles (GGA-PBE) data for an optimized crystal structure of LiGaS2, as listed in the Alexandria database.

Cell and atoms, written as extended XYZ:
```
8
Lattice="6.822 -0.001 -0.017 0.001 3.746 0.000 -0.243 0.000 6.814" Properties=species:S:1:pos:R:3 pbc="T T T"
S 2.009 1.976 1.863
S 6.078 1.976 6.031
S 2.821 0.103 5.142
S 5.265 0.103 2.751
Li 1.758 1.976 6.174
Li 6.330 1.975 1.719
Ga 2.957 0.103 2.837
Ga 5.129 0.103 5.057
```

Output
**Energy relative to the elements, uncorrected**: -3.984 eV/f.u.
**DFT total energy**: -4.29 eV per atom

=====

[3]
First-principles (GGA-PBE) data for an optimized crystal structure of LaPa2O6, as listed in the Alexandria database.

Cell and atoms, written as extended XYZ:
```
9
Lattice="-1.838 1.010 -3.317 -1.961 -0.030 3.399 2.384 9.121 1.455" Properties=species:S:1:pos:R:3 pbc="T T T"
La 0.000 0.000 0.000
Pa -0.334 6.383 2.128
Pa -1.081 3.718 -0.591
O 0.647 2.477 0.395
O -0.918 4.150 1.772
O 1.737 6.644 1.060
O -1.629 1.620 -0.926
O -0.497 5.951 -0.235
O 0.214 8.481 2.463
```

Output
**Energy relative to the elements, uncorrected**: -32.984 eV/f.u.
**DFT total energy**: -9.63 eV per atom

=====

[4]
First-principles (GGA-PBE) data for an optimized crystal structure of KIn3Tc, as listed in the Alexandria database.

Cell and atoms, written as extended XYZ:
```
5
Lattice="-0.360 -2.535 -4.610 3.831 -3.294 1.512 -3.606 -3.246 2.066" Properties=species:S:1:pos:R:3 pbc="T T T"
K -0.068 -4.537 -0.516
In -1.803 -1.623 1.033
In 1.915 -1.647 0.756
In -0.180 -1.268 -2.305
Tc 0.000 0.000 0.000
```

Output
**Formation enthalpy at 0 K**: 0.002 eV/atom
**DFT total energy**: -3.93 eV per atom

=====

[5]
First-principles (GGA-PBE) data for an optimized crystal structure of LiTaNbZn2, as listed in the Alexandria database.

Cell and atoms, written as extended XYZ:
```
5
Lattice="-1.752 0.575 -4.775 2.906 -3.530 -1.491 -3.683 -3.428 0.938" Properties=species:S:1:pos:R:3 pbc="T T T"
Zn -1.842 -1.714 0.469
Zn -0.876 0.287 -2.388
Li -1.264 -3.192 -2.664
Nb 1.453 -1.765 -0.745
Ta 0.000 0.000 0.000
```

Output
**Formation enthalpy at 0 K**: 1.005 eV/atom
**DFT total energy**: -4.27 eV per atom

=====

[6]
First-principles (GGA-PBE) data for an optimized crystal structure of Pu2ReSn, as listed in the Alexandria database.

Cell and atoms, written as extended XYZ:
```
4
Lattice="-3.334 0.473 -1.788 -1.378 -3.094 1.751 -1.958 3.455 4.565" Properties=species:S:1:pos:R:3 pbc="T T T"
Pu -1.507 2.658 3.511
Pu -0.452 0.797 1.053
Sn -3.335 0.417 2.264
Re -2.356 -1.311 -0.019
```

Output
**Formation enthalpy at 0 K**: 0.044 eV/atom
**DFT total energy**: -11.23 eV per atom